Record 1
BeCrNi | GGA-PBE | optimized geometry

```
BeCrNi
1.0
2.4501 0.0000 0.0000
0.2367 4.2599 0.0000
1.1296 -0.0367 5.8863
Be Cr Ni
2 2 2
Direct
0.0000 0.0000 0.0000
0.1578 0.6557 0.6591
0.6207 0.1549 0.6518
0.8979 0.4039 0.3362
0.3692 0.8935 0.3154
0.5569 0.5154 0.9725
```

Values from the calculation:
Energy of formation from the pure elements, eV per atom: -0.057
Total magnetization, μB per formula unit: 0.00
Raw total energy, Ry/atom: -0.4729
SG: P1, No. 1

Record 2
Mn2VHAu | GGA-PBE | optimized geometry

```
Mn2VHAu
1.0
3.8858 0.0000 0.0000
0.0000 3.8858 0.0000
0.0000 0.0000 3.8355
Mn V H Au
2 1 1 1
Direct
0.0000 0.5000 0.0000
0.5000 0.0000 0.0000
0.0000 0.0000 0.5000
0.0000 0.0000 0.0000
0.5000 0.5000 0.5000
```

Values from the calculation:
Total magnetization, μB per formula unit: 3.05
Raw total energy, Ry/atom: -0.5037
SG: P4/mmm, No. 123

Record 3
Te3W | GGA-PBE | optimized geometry

```
Te3W
1.0
4.6085 0.0000 0.0000
0.0000 4.6085 0.0000
0.0000 0.0000 4.6085
Te W
3 1
Direct
0.0000 0.0000 0.5000
0.0000 0.5000 0.0000
0.5000 0.0000 0.0000
0.5000 0.5000 0.5000
```

Values from the calculation:
Formation energy without anion corrections, eV/atom: 1.22
Total magnetization, μB per formula unit: 2.12
Raw total energy, Ry/atom: -0.3214
SG: Pm-3m, No. 221

Record 4
La5Pr2Ho | GGA-PBE | optimized geometry

```
La5Pr2Ho
1.0
2.8858 -6.1105 0.0000
2.8858 6.1105 0.0000
0.0000 0.0000 16.6984
La Pr Ho
10 4 2
Direct
0.0350 0.9650 0.7500
0.1132 0.8868 0.0533
0.1132 0.8868 0.4467
0.4216 0.5784 0.0932
0.4216 0.5784 0.4068
0.5784 0.4216 0.5932
0.5784 0.4216 0.9068
0.8868 0.1132 0.5533
0.8868 0.1132 0.9467
0.9650 0.0350 0.2500
0.2768 0.7232 0.6333
0.2768 0.7232 0.8667
0.7232 0.2768 0.1333
0.7232 0.2768 0.3667
0.2479 0.7521 0.2500
0.7521 0.2479 0.7500
```

Values from the calculation:
Energy of formation from the pure elements, eV per atom: 0.103
Total magnetization, μB per formula unit: 0.00
Raw total energy, Ry/atom: -0.3487
SG: Cmcm, No. 63